Here is ZrAl3F after structural relaxation from Alexandria via LeMat-Bulk. Energies are from PBE-GGA.

```
data_ZrAl3F
_space_group_name_H-M_alt 'P m -3 m'
_space_group_IT_number 221
_space_group_name_Hall '-P 4 2 3'
_cell_length_a 4.329
_cell_length_b 4.329
_cell_length_c 4.329
_cell_angle_alpha 90.00
_cell_angle_beta 90.00
_cell_angle_gamma 90.00
loop_
_atom_site_label
_atom_site_type_symbol
_atom_site_fract_x
_atom_site_fract_y
_atom_site_fract_z
Zr1 Zr 0.000 0.000 0.000
Al1 Al 0.000 0.500 0.500
F1 F 0.500 0.500 0.500
```

Calculated values
Energy relative to the lowest polymorph listed for this composition, eV/atom: 0.000
Total moment, μB/f.u.: 0.0
Electronic total energy, eV/atom: -4.981
Formation energy without anion corrections, eV/atom: -0.652